## PmCuF6 (PBE)

Data for a relaxed PmCuF6 crystal.

Final energy = -5.146 eV per atom
Size of the total moment = 2.00 Bohr magnetons per cell
Raw formation energy = -2.64 eV/atom
Distance to the lowest polymorph of the same formula = 46.2 meV per atom

Unit cell a=5.5898 b=4.7689 c=4.9525 alpha=83.68 beta=79.17 gamma=54.12
Last column: nearest neighbours and their distance in Å.
Positions (direct):
F  0.2167  0.0000  0.3434  1 Cu 1.89
F  0.5002  0.6725  0.7707  1 Cu 1.94
F  0.8274  0.6725  0.2293  1 Cu 1.94
F  0.4998  0.3275  0.2293  1 Cu 1.94
F  0.7833  0.0000  0.6566  1 Cu 1.89
F  0.1726  0.3275  0.7707  1 Cu 1.94
Pm  0.0000  0.0000  0.0000  6 F 2.27-2.37
Cu  0.5000  0.0000  0.5000  6 F 1.89-1.94

## Cs4GaGe3I12 (PBE)

Data for a relaxed Cs4GaGe3I12 crystal.

Final energy = -2.768 eV per atom
Size of the total moment = 0.00 Bohr magnetons per cell
Raw formation energy = -0.82 eV/atom

Unit cell a=10.3465 b=10.3465 c=10.3465 alpha=109.47 beta=109.47 gamma=109.47
Last column: nearest neighbours and their distance in Å.
Positions (direct):
Cs  0.0000  0.5000  0.0000  12 I 4.22
Cs  0.0000  0.0000  0.5000  12 I 4.22
Cs  0.5000  0.0000  0.0000  12 I 4.22
Cs  0.5000  0.5000  0.5000  12 I 4.22
Ge  0.0000  0.5000  0.5000  6 I 2.99
Ge  0.5000  0.5000  0.0000  6 I 2.99
Ge  0.5000  0.0000  0.5000  6 I 2.99
I  0.7499  0.0000  0.7499  1 Ge 2.99, 1 Ga 2.99
I  0.5000  0.2500  0.7500  2 Ge 2.99
I  0.2500  0.7500  0.5000  2 Ge 2.99
I  0.7499  0.7499  0.0000  1 Ge 2.99, 1 Ga 2.99
I  0.5000  0.7500  0.2500  2 Ge 2.99
I  0.2501  0.2501  0.0000  1 Ge 2.99, 1 Ga 2.99
I  0.2501  0.0000  0.2501  1 Ge 2.99, 1 Ga 2.99
I  0.2500  0.5000  0.7500  2 Ge 2.99
I  0.0000  0.2501  0.2501  1 Ge 2.99, 1 Ga 2.99
I  0.7500  0.2500  0.5000  2 Ge 2.99
I  0.0000  0.7499  0.7499  1 Ge 2.99, 1 Ga 2.99
I  0.7500  0.5000  0.2500  2 Ge 2.99
Ga  0.0000  0.0000  0.0000  6 I 2.99

## TaMo3 (PBE)

Data for a relaxed TaMo3 crystal.

Final energy = -11.200 eV per atom
Size of the total moment = 0.00 Bohr magnetons per cell
Calculated formation energy = -0.46 eV/f.u.

Unit cell a=3.1946 b=4.5175 c=9.0694 alpha=90.00 beta=90.00 gamma=90.00
Last column: nearest neighbours and their distance in Å.
Positions (direct):
Mo  0.0000  0.5000  0.2445  6 Mo 2.69-2.77, 2 Ta 2.77
Mo  0.5000  0.5000  0.0055  6 Mo 2.69-2.77, 2 Ta 2.77
Mo  0.5000  0.0000  0.7521  4 Mo 2.76-2.80, 4 Ta 2.77
Mo  0.0000  0.0000  0.0008  8 Mo 2.76-2.77
Mo  0.5000  0.0000  0.2492  8 Mo 2.76-2.77
Mo  0.0000  0.0000  0.4979  4 Mo 2.76-2.80, 4 Ta 2.77
Ta  0.5000  0.5000  0.4942  6 Mo 2.77, 2 Ta 2.86
Ta  0.0000  0.5000  0.7558  6 Mo 2.77, 2 Ta 2.86

## NaMgMo2 (PBE)

Data for a relaxed NaMgMo2 crystal.

Final energy = -4.792 eV per atom
Size of the total moment = 1.39 Bohr magnetons per cell
Calculated formation energy = 5.41 eV/f.u.

Unit cell a=7.7896 b=7.7896 c=6.0588 alpha=50.00 beta=50.00 gamma=90.00
Last column: nearest neighbours and their distance in Å.
Positions (direct):
Mg  0.0000  0.0000  0.0000  2 Na 2.52, 4 Mo 2.76
Mg  0.7500  0.2500  0.5000  2 Na 2.52, 4 Mo 2.76
Mo  0.6374  0.1250  0.2500  2 Mo 2.53, 2 Mg 2.76
Mo  0.3750  0.3626  0.7500  2 Mo 2.53, 2 Mg 2.76
Mo  0.1126  0.6250  0.2500  2 Mo 2.53, 2 Mg 2.76
Mo  0.8750  0.8874  0.7500  2 Mo 2.53, 2 Mg 2.76
Na  0.5000  0.5000  0.0000  2 Mg 2.52
Na  0.2500  0.7500  0.5000  2 Mg 2.52

## BaErCd2Pb2 (PBE)

Data for a relaxed BaErCd2Pb2 crystal.

Final energy = -2.995 eV per atom
Size of the total moment = 0.00 Bohr magnetons per cell
Calculated formation energy = -2.24 eV/f.u.

Unit cell a=5.0830 b=5.0830 c=8.3066 alpha=90.00 beta=90.00 gamma=120.00
Last column: nearest neighbours and their distance in Å.
Positions (direct):
Pb  0.3333  0.6667  0.2563  4 Cd 3.02-3.32
Pb  0.6667  0.3333  0.7437  4 Cd 3.02-3.32
Ba  0.0000  0.0000  0.0000  6 Pb 3.63
Cd  0.6667  0.3333  0.3439  4 Pb 3.02-3.32, 3 Er 3.21
Cd  0.3333  0.6667  0.6561  4 Pb 3.02-3.32, 3 Er 3.21
Er  0.0000  0.0000  0.5000  6 Cd 3.21, 6 Pb 3.57

## TaHg2Cl (PBE)

Data for a relaxed TaHg2Cl crystal.

Final energy = -2.895 eV per atom
Size of the total moment = 0.00 Bohr magnetons per cell
Raw formation energy = 0.68 eV/atom
Distance to the lowest polymorph of the same formula = 821.4 meV per atom

Unit cell a=4.8496 b=4.8496 c=4.8496 alpha=60.00 beta=60.00 gamma=60.00
Last column: nearest neighbours and their distance in Å.
Positions (direct):
Cl  0.5000  0.5000  0.5000  4 Ta 2.97, 4 Hg 2.97
Ta  0.7500  0.7500  0.7500  4 Hg 2.97, 4 Cl 2.97
Hg  0.0000  0.0000  0.0000  4 Hg 2.97, 4 Ta 2.97
Hg  0.2500  0.2500  0.2500  4 Hg 2.97, 4 Cl 2.97

## Cs5Rb2OF (PBE)

Data for a relaxed Cs5Rb2OF crystal.

Final energy = -2.325 eV per atom
Size of the total moment = 0.00 Bohr magnetons per cell
Raw formation energy = -0.88 eV/atom

Unit cell a=4.7463 b=12.1725 c=22.5551 alpha=90.00 beta=90.00 gamma=101.24
Last column: nearest neighbours and their distance in Å.
Positions (direct):
Cs  0.3264  0.6529  0.5668  1 O 2.99, 2 F 3.01
Cs  0.3309  0.6618  0.9949  1 F 2.74
Cs  0.6785  0.3569  0.9076  1 O 2.72
Cs  0.6736  0.3471  0.0668  1 O 2.99, 2 F 3.01
Cs  0.0412  0.0824  0.0288  2 O 2.86
Cs  0.5138  0.0275  0.8800  1 O 2.71
Cs  0.9588  0.9176  0.5288  2 O 2.86
Cs  0.4862  0.9725  0.3800  1 O 2.71
Cs  0.6691  0.3382  0.4949  1 F 2.74
Cs  0.3215  0.6431  0.4076  1 O 2.72
F  0.2164  0.4328  0.9987  3 Cs 2.74-3.01
F  0.7836  0.5672  0.4987  3 Cs 2.74-3.01
Rb  0.1305  0.2611  0.7010  2 Rb 4.75, 2 Cs 5.30
Rb  0.8695  0.7389  0.2010  2 Rb 4.75, 2 Cs 5.30
Rb  0.1569  0.3138  0.2714  2 Rb 4.75, 5 Cs 4.99-5.31
Rb  0.8431  0.6862  0.7714  2 Rb 4.75, 5 Cs 4.99-5.31
O  0.5837  0.1673  0.9746  5 Cs 2.71-2.99
O  0.4163  0.8327  0.4746  5 Cs 2.71-2.99

## PrY8Th2 (PBE)

Data for a relaxed PrY8Th2 crystal.

Final energy = -6.307 eV per atom
Size of the total moment = 0.00 Bohr magnetons per cell
Calculated formation energy = 1.96 eV/f.u.
Distance to the lowest polymorph of the same formula = 0.0 meV per atom

Unit cell a=5.6097 b=10.2314 c=10.2314 alpha=40.48 beta=92.16 gamma=92.16
Last column: nearest neighbours and their distance in Å.
Positions (direct):
Th  0.2600  0.7172  0.7172  9 Y 3.25-3.60
Th  0.7400  0.2828  0.2828  9 Y 3.25-3.60
Y  0.7360  0.8638  0.4022  4 Y 3.27-3.58, 2 Th 3.45-3.57, 1 Pr 3.56
Y  0.2640  0.5978  0.1362  4 Y 3.27-3.58, 2 Th 3.45-3.57, 1 Pr 3.56
Y  0.2381  0.5477  0.5477  2 Y 3.18-3.52, 1 Th 3.25
Y  0.2640  0.1362  0.5978  4 Y 3.27-3.58, 2 Th 3.45-3.57, 1 Pr 3.56
Y  0.7619  0.4523  0.4523  2 Y 3.18-3.52, 1 Th 3.25
Y  0.7360  0.4022  0.8638  4 Y 3.27-3.58, 2 Th 3.45-3.57, 1 Pr 3.56
Y  0.7669  0.8155  0.8155  4 Th 3.35-3.60, 4 Y 3.49-3.58, 1 Pr 3.73
Y  0.2331  0.1845  0.1845  4 Th 3.35-3.60, 4 Y 3.49-3.58, 1 Pr 3.73
Pr  0.0000  0.0000  0.0000  10 Y 3.56-3.88

## SrCd3Rh (PBE)

Data for a relaxed SrCd3Rh crystal.

Final energy = -2.595 eV per atom
Size of the total moment = 0.00 Bohr magnetons per cell
Calculated formation energy = -1.20 eV/f.u.
Distance to the lowest polymorph of the same formula = 11.6 meV per atom

Unit cell a=5.9068 b=6.3007 c=7.2679 alpha=115.69 beta=90.00 gamma=90.00
Last column: nearest neighbours and their distance in Å.
Positions (direct):
Cd  0.2500  0.8990  0.2730  2 Rh 2.76, 2 Cd 2.91-2.99
Cd  0.2500  0.3740  0.2730  2 Rh 2.76, 2 Cd 2.91-2.99
Cd  0.7500  0.1809  0.3618  2 Rh 2.79, 2 Cd 2.91
Cd  0.7500  0.1010  0.7270  2 Rh 2.76, 2 Cd 2.91-2.99
Cd  0.2500  0.8191  0.6382  2 Rh 2.79, 2 Cd 2.91
Cd  0.7500  0.6260  0.7270  2 Rh 2.76, 2 Cd 2.91-2.99
Sr  0.2500  0.3983  0.7965  8 Cd 3.32-3.53
Sr  0.7500  0.6017  0.2035  8 Cd 3.32-3.53
Rh  0.0000  0.0000  0.0000  6 Cd 2.76-2.79, 2 Rh 2.95
Rh  0.5000  0.0000  0.0000  6 Cd 2.76-2.79, 2 Rh 2.95

## KTl2ReCl8 (PBE)

Data for a relaxed KTl2ReCl8 crystal.

Final energy = -3.718 eV per atom
Size of the total moment = 2.00 Bohr magnetons per cell
Raw formation energy = -0.96 eV/atom

Unit cell a=6.1431 b=7.9379 c=9.0053 alpha=89.96 beta=90.01 gamma=114.91
Last column: nearest neighbours and their distance in Å.
Positions (direct):
Cl  0.0391  0.8037  0.1850  1 Re 2.36
Cl  0.4548  0.7230  0.5003  2 Tl 2.90, 1 K 3.14
Cl  0.0403  0.8043  0.8152  1 Re 2.36
Cl  0.9609  0.1963  0.8150  1 Re 2.36
Cl  0.9597  0.1957  0.1848  1 Re 2.36
Cl  0.5890  0.8216  0.9996  1 Re 2.32
Cl  0.5452  0.2770  0.4997  2 Tl 2.90, 1 K 3.14
Cl  0.4110  0.1784  0.0004  1 Re 2.32
Tl  0.4991  0.5003  0.2575  4 Cl 2.90-3.24
Tl  0.5009  0.4997  0.7425  4 Cl 2.90-3.24
K  0.0000  0.0000  0.5000  6 Cl 3.14-3.29
Re  0.0000  0.0000  0.0000  6 Cl 2.32-2.36